Compound: Sm3SnC
Source: the Alexandria database
Functional: PBE-GGA
Structure: optimized geometry

Lattice parameters (Å, degrees): 5.737 5.737 5.737 90.00 90.00 90.00
Space group Pm-3m (No. 221)
Asymmetric unit:
Sm1 0.000 0.000 0.500 (multiplicity 3)
Sn1 0.000 0.000 0.000 (multiplicity 1)
C1 0.500 0.500 0.500 (multiplicity 1)

## Properties
Total magnetic moment in μB/cell: 0.0
Fermi-level density of states in states/eV/f.u.: 3.05
Energy above the most stable polymorph in this dataset in eV/atom: 1.957
Total energy in eV per atom: -4.052

Compound: Sm4Sn2C
Source: the Alexandria database
Functional: PBE-GGA
Structure: optimized geometry

Lattice parameters (Å, degrees): 6.689 6.828 9.450 90.00 110.33 90.00
Space group P2_1/m (No. 11)
Asymmetric unit:
Sm1 0.173 0.250 0.064 (multiplicity 2)
Sm2 0.242 0.501 0.731 (multiplicity 4)
Sm3 0.282 0.750 0.349 (multiplicity 2)
Sn1 0.222 0.250 0.421 (multiplicity 2)
Sn2 0.348 0.750 0.036 (multiplicity 2)
C1 0.075 0.250 0.803 (multiplicity 2)

## Properties
Total magnetic moment in μB/cell: 0.0
Fermi-level density of states in states/eV/f.u.: 1.22
Energy above the most stable polymorph in this dataset in eV/atom: 0.108
Total energy in eV per atom: -5.629

Compound: Sm7Sn3C2
Source: the Alexandria database
Functional: PBE-GGA
Structure: optimized geometry

Lattice parameters (Å, degrees): 5.045 25.151 4.940 90.00 90.00 90.00
Space group Cmmm (No. 65)
Asymmetric unit:
Sm1 0.000 0.000 0.000 (multiplicity 2)
Sm2 0.000 0.097 0.500 (multiplicity 4)
Sm3 0.000 0.200 0.000 (multiplicity 4)
Sm4 0.000 0.398 0.000 (multiplicity 4)
Sn1 0.000 0.310 0.500 (multiplicity 4)
Sn2 0.000 0.500 0.500 (multiplicity 2)
C1 0.000 0.102 0.000 (multiplicity 4)

## Properties
Total magnetic moment in μB/cell: 0.0
Fermi-level density of states in states/eV/f.u.: 4.91
Total energy in eV per atom: -5.833

Compound: TbSm2SnC
Source: the Alexandria database
Functional: PBE-GGA
Structure: optimized geometry

Lattice parameters (Å, degrees): 5.028 5.028 4.930 90.00 90.00 90.00
Space group P4/mmm (No. 123)
Asymmetric unit:
Tb1 0.000 0.000 0.000 (multiplicity 1)
Sm1 0.000 0.500 0.500 (multiplicity 2)
Sn1 0.500 0.500 0.000 (multiplicity 1)
C1 0.000 0.000 0.500 (multiplicity 1)

## Properties
Total magnetic moment in μB/cell: 0.0
Fermi-level density of states in states/eV/f.u.: 2.38
Total energy in eV per atom: -6.015

Compound: TbSm3Sn2C
Source: the Alexandria database
Functional: PBE-GGA
Structure: optimized geometry

Lattice parameters (Å, degrees): 4.855 4.918 16.325 90.00 90.00 90.00
Space group Immm (No. 71)
Asymmetric unit:
Tb1 0.000 0.000 0.000 (multiplicity 2)
Sm1 0.000 0.000 0.500 (multiplicity 2)
Sm2 0.000 0.500 0.339 (multiplicity 4)
Sn1 0.000 0.500 0.139 (multiplicity 4)
C1 0.000 0.500 0.500 (multiplicity 2)

## Properties
Total magnetic moment in μB/cell: 0.0
Fermi-level density of states in states/eV/f.u.: 0.84
Total energy in eV per atom: -5.764

Compound: Sm4SnTeC
Source: the Alexandria database
Functional: PBE-GGA
Structure: optimized geometry

Lattice parameters (Å, degrees): 6.973 16.094 6.995 90.00 90.00 90.00
Space group Cmcm (No. 63)
Asymmetric unit:
Sm1 0.000 0.090 0.250 (multiplicity 4)
Sm2 0.000 0.407 0.250 (multiplicity 4)
Sm3 0.250 0.250 0.000 (multiplicity 8)
Sn1 0.000 0.109 0.750 (multiplicity 4)
Te1 0.000 0.390 0.750 (multiplicity 4)
C1 0.000 0.248 0.250 (multiplicity 4)

## Properties
Total magnetic moment in μB/cell: 0.0
E_form (uncorrected) in eV/atom: -0.68
Fermi-level density of states in states/eV/f.u.: 5.42
Total energy in eV per atom: -5.711

Compound: Sm2ThSnC
Source: the Alexandria database
Functional: PBE-GGA
Structure: optimized geometry

Lattice parameters (Å, degrees): 5.057 5.057 5.029 90.00 90.00 90.00
Space group P4/mmm (No. 123)
Asymmetric unit:
Sm1 0.000 0.500 0.000 (multiplicity 2)
Th1 0.000 0.000 0.500 (multiplicity 1)
Sn1 0.500 0.500 0.500 (multiplicity 1)
C1 0.000 0.000 0.000 (multiplicity 1)

## Properties
Total magnetic moment in μB/cell: 0.0
Fermi-level density of states in states/eV/f.u.: 2.53
Total energy in eV per atom: -6.489

Compound: Sm4TlSnC
Source: the Alexandria database
Functional: PBE-GGA
Structure: optimized geometry

Lattice parameters (Å, degrees): 7.044 16.050 7.042 90.00 90.00 90.00
Space group Cmcm (No. 63)
Asymmetric unit:
Sm1 0.000 0.088 0.250 (multiplicity 4)
Sm2 0.000 0.412 0.250 (multiplicity 4)
Sm3 0.250 0.250 0.000 (multiplicity 8)
Tl1 0.000 0.113 0.750 (multiplicity 4)
Sn1 0.000 0.386 0.750 (multiplicity 4)
C1 0.000 0.249 0.250 (multiplicity 4)

## Properties
Total magnetic moment in μB/cell: 0.0
Fermi-level density of states in states/eV/f.u.: 4.91
Total energy in eV per atom: -5.342

Compound: Sm2Tm2Sn2C
Source: the Alexandria database
Functional: PBE-GGA
Structure: optimized geometry

Lattice parameters (Å, degrees): 4.759 4.759 16.247 90.00 90.00 90.00
Space group I4/mmm (No. 139)
Asymmetric unit:
Sm1 0.000 0.000 0.160 (multiplicity 4)
Tm1 0.000 0.500 0.000 (multiplicity 4)
Sn1 0.000 0.000 0.363 (multiplicity 4)
C1 0.000 0.000 0.000 (multiplicity 2)

## Properties
Total magnetic moment in μB/cell: 0.0
Fermi-level density of states in states/eV/f.u.: 0.51
Total energy in eV per atom: -5.814

Compound: SmY2SnC
Source: the Alexandria database
Functional: PBE-GGA
Structure: optimized geometry

Lattice parameters (Å, degrees): 4.905 4.905 5.028 90.00 90.00 90.00
Space group P4/mmm (No. 123)
Asymmetric unit:
Sm1 0.000 0.000 0.000 (multiplicity 1)
Y1 0.000 0.500 0.500 (multiplicity 2)
Sn1 0.500 0.500 0.000 (multiplicity 1)
C1 0.000 0.000 0.500 (multiplicity 1)

## Properties
Total magnetic moment in μB/cell: 0.0
Fermi-level density of states in states/eV/f.u.: 2.35
Total energy in eV per atom: -6.788

Compound: Sm2Ta2C3
Source: the Alexandria database
Functional: PBE-GGA
Structure: optimized geometry

Lattice parameters (Å, degrees): 12.112 3.441 5.924 90.00 110.76 90.00
Space group C2/m (No. 12)
Asymmetric unit:
Sm1 0.109 0.000 0.327 (multiplicity 4)
Ta1 0.151 0.500 0.829 (multiplicity 4)
C1 0.000 0.500 0.500 (multiplicity 2)
C2 0.246 0.000 0.775 (multiplicity 4)

## Properties
Total magnetic moment in μB/cell: 0.0
Fermi-level density of states in states/eV/f.u.: 4.16
Total energy in eV per atom: -9.073

Compound: Sm3TaC4
Source: the Alexandria database
Functional: PBE-GGA
Structure: optimized geometry

Lattice parameters (Å, degrees): 4.886 10.021 5.274 90.00 90.00 90.00
Space group Pmmn (No. 59, origin choice 2)
Asymmetric unit:
Sm1 0.250 0.000 0.247 (multiplicity 4)
Sm2 0.250 0.250 0.740 (multiplicity 2)
Ta1 0.250 0.750 0.791 (multiplicity 2)
C1 0.250 0.250 0.233 (multiplicity 2)
C2 0.250 0.532 0.736 (multiplicity 4)
C3 0.250 0.750 0.174 (multiplicity 2)

## Properties
Total magnetic moment in μB/cell: 0.0
Fermi-level density of states in states/eV/f.u.: 4.91
Total energy in eV per atom: -7.903

Compound: SmTaC2
Source: the Alexandria database
Functional: PBE-GGA
Structure: optimized geometry

Lattice parameters (Å, degrees): 5.830 3.600 11.142 90.00 90.00 90.00
Space group Pnma (No. 62)
Asymmetric unit:
Sm1 0.084 0.250 0.140 (multiplicity 4)
Ta1 0.090 0.750 0.393 (multiplicity 4)
C1 0.152 0.250 0.751 (multiplicity 4)
C2 0.211 0.250 0.478 (multiplicity 4)

## Properties
Total magnetic moment in μB/cell: 0.0
Fermi-level density of states in states/eV/f.u.: 0.76
Energy above the most stable polymorph in this dataset in eV/atom: 0.000
Total energy in eV per atom: -9.133

Compound: SmTaC
Source: the Alexandria database
Functional: PBE-GGA
Structure: optimized geometry

Lattice parameters (Å, degrees): 5.7849 5.7849 16.7540 90.00 90.00 120.00
Space group R3 (No. 146, hexagonal axes)
Asymmetric unit:
Sm1 0.0060 0.6675 0.0000 (multiplicity 9)
Ta1 0.9996 0.3325 0.1705 (multiplicity 9)
C1 0.0000 0.0000 0.2285 (multiplicity 3)
C2 0.0000 0.0000 0.4384 (multiplicity 3)
C3 0.0000 0.0000 0.8953 (multiplicity 3)

## Properties
Total magnetic moment in μB/cell: 0.0
Fermi-level density of states in states/eV/f.u.: 3.78
Total energy in eV per atom: -8.652

Compound: SmTaC2
Source: the Alexandria database
Functional: PBE-GGA
Structure: optimized geometry

Lattice parameters (Å, degrees): 3.2947 3.2947 17.9182 90.00 90.00 120.00
Space group R3m (No. 160, hexagonal axes)
Asymmetric unit:
Sm1 0.0000 0.0000 0.0000 (multiplicity 3)
Ta1 0.0000 0.0000 0.8261 (multiplicity 3)
C1 0.0000 0.0000 0.2286 (multiplicity 3)
C2 0.0000 0.0000 0.4250 (multiplicity 3)

## Properties
Total magnetic moment in μB/cell: 0.0
Fermi-level density of states in states/eV/f.u.: 1.56
Energy above the most stable polymorph in this dataset in eV/atom: 0.243
Total energy in eV per atom: -8.890

Compound: SmTaC2
Source: the Alexandria database
Functional: PBE-GGA
Structure: optimized geometry

Lattice parameters (Å, degrees): 3.3429 3.3429 17.1790 90.00 90.00 120.00
Space group R-3m (No. 166, hexagonal axes)
Asymmetric unit:
Sm1 0.0000 0.0000 0.0000 (multiplicity 3)
Ta1 0.0000 0.0000 0.5000 (multiplicity 3)
C1 0.0000 0.0000 0.2362 (multiplicity 6)

## Properties
Total magnetic moment in μB/cell: 0.0
Fermi-level density of states in states/eV/f.u.: 0.84
Energy above the most stable polymorph in this dataset in eV/atom: 0.033
Total energy in eV per atom: -9.100

Compound: SmTa2TcC4
Source: the Alexandria database
Functional: PBE-GGA
Structure: optimized geometry

Lattice parameters (Å, degrees): 3.279 11.368 11.200 90.00 90.00 90.00
Space group Cmcm (No. 63)
Asymmetric unit:
Sm1 0.000 0.106 0.250 (multiplicity 4)
Ta1 0.000 0.371 0.037 (multiplicity 8)
Tc1 0.000 0.159 0.750 (multiplicity 4)
C1 0.000 0.000 0.000 (multiplicity 4)
C2 0.000 0.263 0.611 (multiplicity 8)
C3 0.000 0.438 0.250 (multiplicity 4)

## Properties
Total magnetic moment in μB/cell: 0.0
Fermi-level density of states in states/eV/f.u.: 2.40
Total energy in eV per atom: -9.694

Compound: SmTa2WC4
Source: the Alexandria database
Functional: PBE-GGA
Structure: optimized geometry

Lattice parameters (Å, degrees): 3.249 11.566 11.381 90.00 90.00 90.00
Space group Cmcm (No. 63)
Asymmetric unit:
Sm1 0.000 0.106 0.250 (multiplicity 4)
Ta1 0.000 0.372 0.034 (multiplicity 8)
W1 0.000 0.160 0.750 (multiplicity 4)
C1 0.000 0.000 0.000 (multiplicity 4)
C2 0.000 0.263 0.611 (multiplicity 8)
C3 0.000 0.444 0.250 (multiplicity 4)

## Properties
Total magnetic moment in μB/cell: 0.0
Fermi-level density of states in states/eV/f.u.: 1.77
Total energy in eV per atom: -10.007

Compound: Tb4Sm2C
Source: the Alexandria database
Functional: PBE-GGA
Structure: optimized geometry

Lattice parameters (Å, degrees): 3.5993 3.5993 54.3056 90.00 90.00 120.00
Space group R-3m (No. 166, hexagonal axes)
Asymmetric unit:
Tb1 0.0000 0.0000 0.1400 (multiplicity 6)
Tb2 0.0000 0.0000 0.3585 (multiplicity 6)
Sm1 0.0000 0.0000 0.2454 (multiplicity 6)
C1 0.0000 0.0000 0.0000 (multiplicity 3)

## Properties
Total magnetic moment in μB/cell: 0.0
Fermi-level density of states in states/eV/f.u.: 7.20
Total energy in eV per atom: -5.408

Compound: TbSm2C2
Source: the Alexandria database
Functional: PBE-GGA
Structure: optimized geometry

Lattice parameters (Å, degrees): 11.722 5.274 7.438 90.00 110.37 90.00
Space group C2/m (No. 12)
Asymmetric unit:
Tb1 0.156 0.000 0.096 (multiplicity 4)
Sm1 0.007 0.500 0.733 (multiplicity 4)
Sm2 0.164 0.000 0.572 (multiplicity 4)
C1 0.001 0.000 0.236 (multiplicity 4)
C2 0.166 0.500 0.590 (multiplicity 4)

## Properties
Total magnetic moment in μB/cell: 1.9
Fermi-level density of states in states/eV/f.u.: 3.20
Total energy in eV per atom: -6.587

Compound: Tb2SmC
Source: the Alexandria database
Functional: PBE-GGA
Structure: optimized geometry

Lattice parameters (Å, degrees): 3.5480 3.5480 29.5028 90.00 90.00 120.00
Space group R-3m (No. 166, hexagonal axes)
Asymmetric unit:
Tb1 0.0000 0.0000 0.1207 (multiplicity 6)
Sm1 0.0000 0.0000 0.0000 (multiplicity 3)
C1 0.0000 0.0000 0.5000 (multiplicity 3)

## Properties
Total magnetic moment in μB/cell: 0.0
Fermi-level density of states in states/eV/f.u.: 4.18
Energy above the most stable polymorph in this dataset in eV/atom: 0.089
Total energy in eV per atom: -5.875

Compound: Tb2SmC
Source: the Alexandria database
Functional: PBE-GGA
Structure: optimized geometry

Lattice parameters (Å, degrees): 3.6049 3.6049 9.2591 90.00 90.00 120.00
Space group P-3m1 (No. 164)
Asymmetric unit:
Tb1 0.3333 0.6667 0.1474 (multiplicity 2)
Sm1 0.0000 0.0000 0.5000 (multiplicity 1)
C1 0.0000 0.0000 0.0000 (multiplicity 1)

## Properties
Total magnetic moment in μB/cell: 0.0
Fermi-level density of states in states/eV/f.u.: 3.79
Energy above the most stable polymorph in this dataset in eV/atom: 0.000
Total energy in eV per atom: -5.963

Compound: TbSm3C
Source: the Alexandria database
Functional: PBE-GGA
Structure: optimized geometry

Lattice parameters (Å, degrees): 5.170 5.170 5.170 90.00 90.00 90.00
Space group Pm-3m (No. 221)
Asymmetric unit:
Tb1 0.000 0.000 0.000 (multiplicity 1)
Sm1 0.000 0.500 0.500 (multiplicity 3)
C1 0.500 0.500 0.500 (multiplicity 1)

## Properties
Total magnetic moment in μB/cell: 0.0
Fermi-level density of states in states/eV/f.u.: 6.41
Total energy in eV per atom: -5.538

Compound: TbSmC2
Source: the Alexandria database
Functional: PBE-GGA
Structure: optimized geometry

Lattice parameters (Å, degrees): 3.6704 3.6704 17.9429 90.00 90.00 120.00
Space group R-3m (No. 166, hexagonal axes)
Asymmetric unit:
Tb1 0.0000 0.0000 0.0000 (multiplicity 3)
Sm1 0.0000 0.0000 0.5000 (multiplicity 3)
C1 0.0000 0.0000 0.2521 (multiplicity 6)

## Properties
Total magnetic moment in μB/cell: 0.0
Fermi-level density of states in states/eV/f.u.: 5.01
Total energy in eV per atom: -6.802